VASP calculation (PBE) on crystalline NdTm4Al2 at its relaxed geometry.

The calculation puts the calculated density at 7.3 g/cm³. The value obtained for the magnetization is 0.0 Bohr magnetons per cell. Its distance to the lowest polymorph of the same formula is 505 meV per atom. For the energy of formation, the calculation gives 0.298 eV/atom. The crystal system is tetragonal. Its density of states at the Fermi level is 1.1809 states/eV/atom.

It has space group I4/mmm (No. 139), with a = 5.582 Å, b = 5.582 Å, c = 12.722 Å, α = 90.00°, β = 90.00° and γ = 90.00°. Symmetry generates all atoms from Nd at (0.000, 0.000, 0.000), Tm at (0.000, 0.500, 0.000), Tm at (0.000, 0.500, 0.250) and Al at (0.000, 0.000, 0.384).